# 1
The following is a PBE calculation of an optimized crystal structure of K3MgNp2O9, from the Alexandria database.

Computed properties:
Calculated volume = 222 Å³ per cell
SG = No. 164
ΔE_f (raw) = -2.49 eV per atom
Crystal system = trigonal

abc: 5.9283 5.9283 7.2782
angles: 90.00 90.00 120.00
Each line ends with the local moment (μB).
Fractional positions:
K 0.3333 0.6667 0.6579  0.00
K 0.0000 0.0000 0.0000  0.00
K 0.6667 0.3333 0.3421  0.00
Mg 0.0000 0.0000 0.5000  0.00
Np 0.3333 0.6667 0.1755  0.64
Np 0.6667 0.3333 0.8245  0.64
O 0.8276 0.1724 0.6723  -0.03
O 0.8276 0.6551 0.6723  -0.03
O 0.3449 0.1724 0.6723  -0.03
O 0.6551 0.8276 0.3277  -0.03
O 0.1724 0.3449 0.3277  -0.03
O 0.1724 0.8276 0.3277  -0.03
O 0.5000 0.0000 0.0000  -0.03
O 0.0000 0.5000 0.0000  -0.03
O 0.5000 0.5000 0.0000  -0.03

# 2
The following is a PBE calculation of an optimized crystal structure of K3Mg2NpS6, from the Alexandria database.

Computed properties:
Calculated volume = 289 Å³ per cell
SG = No. 12
ΔE_f (raw) = -1.31 eV per atom
Crystal system = monoclinic

abc: 6.7558 6.7558 7.6586
angles: 98.42 98.42 120.03
Each line ends with the local moment (μB).
Fractional positions:
K 0.1695 0.8305 0.5000  0.00
K 0.8305 0.1695 0.5000  0.00
K 0.5000 0.5000 0.5000  0.00
Mg 0.3338 0.6662 0.0000  0.00
Mg 0.6662 0.3338 0.0000  0.00
Np 0.0000 0.0000 0.0000  2.59
S 0.9352 0.6062 0.8061  -0.07
S 0.7363 0.7363 0.1949  -0.07
S 0.0648 0.3938 0.1939  -0.07
S 0.6062 0.9352 0.8061  -0.07
S 0.2637 0.2637 0.8051  -0.07
S 0.3938 0.0648 0.1939  -0.07

# 3
The following is a PBE calculation of an optimized crystal structure of K3MgNp2S6, from the Alexandria database.

Computed properties:
Calculated volume = 307 Å³ per cell
SG = No. 12
ΔE_f (raw) = -1.38 eV per atom
Crystal system = monoclinic

abc: 6.9546 6.9546 7.6938
angles: 98.65 98.65 120.01
Each line ends with the local moment (μB).
Fractional positions:
K 0.1650 0.8350 0.5000  0.00
K 0.8350 0.1650 0.5000  0.00
K 0.5000 0.5000 0.5000  0.00
Mg 0.0000 0.0000 0.0000  0.00
Np 0.3332 0.6668 0.0000  3.61
Np 0.6668 0.3332 0.0000  3.61
S 0.9340 0.6024 0.8020  -0.07
S 0.7343 0.7343 0.1973  -0.07
S 0.0660 0.3976 0.1979  -0.07
S 0.6024 0.9340 0.8020  -0.07
S 0.2657 0.2657 0.8027  -0.07
S 0.3976 0.0660 0.1979  -0.07

# 4
The following is a PBE calculation of an optimized crystal structure of K4MgNp3S8, from the Alexandria database.

Computed properties:
Calculated volume = 421 Å³ per cell
SG = No. 164
ΔE_f (raw) = -1.34 eV per atom
Crystal system = trigonal

abc: 8.0233 7.5588 8.0227
angles: 90.00 120.00 90.00
Each line ends with the local moment (μB).
Fractional positions:
K 0.5000 0.0000 0.0000  0.00
K 0.5000 0.0000 0.5000  0.00
K 0.0000 0.0000 0.0000  0.00
K 0.0000 0.0000 0.5000  0.00
Mg 0.0000 0.5000 0.0000  0.00
Np 0.5000 0.5000 0.0000  3.71
Np 0.5000 0.5000 0.5000  3.71
Np 0.0000 0.5000 0.5000  3.71
S 0.6702 0.6959 0.8350  -0.07
S 0.3333 0.3004 0.6667  -0.09
S 0.1648 0.6957 0.3295  -0.07
S 0.1649 0.6959 0.8350  -0.07
S 0.8351 0.3041 0.1650  -0.07
S 0.8352 0.3043 0.6705  -0.07
S 0.6667 0.6996 0.3333  -0.09
S 0.3298 0.3041 0.1650  -0.07

# 5
The following is a PBE calculation of an optimized crystal structure of K2MgNp2S6, from the Alexandria database.

Computed properties:
Calculated volume = 302 Å³ per cell
SG = No. 12
ΔE_f (raw) = -1.36 eV per atom
Crystal system = monoclinic

abc: 6.8284 6.8284 7.8265
angles: 98.07 98.07 120.26
Each line ends with the local moment (μB).
Fractional positions:
K 0.8361 0.1639 0.0000  0.00
K 0.1639 0.8361 0.0000  0.00
Mg 0.0000 0.0000 0.5000  0.00
Np 0.3342 0.6658 0.5000  3.27
Np 0.6658 0.3342 0.5000  3.27
S 0.7333 0.7333 0.6892  -0.09
S 0.0602 0.3982 0.6917  -0.10
S 0.2667 0.2667 0.3108  -0.09
S 0.3982 0.0602 0.6917  -0.10
S 0.9398 0.6018 0.3083  -0.10
S 0.6018 0.9398 0.3083  -0.10

# 6
The following is a PBE calculation of an optimized crystal structure of K3Mg2NpSe6, from the Alexandria database.

Computed properties:
Calculated volume = 331 Å³ per cell
SG = No. 12
ΔE_f (raw) = -1.19 eV per atom
Crystal system = monoclinic

abc: 7.0750 7.0750 8.0007
angles: 98.46 98.46 120.03
Each line ends with the local moment (μB).
Fractional positions:
K 0.1685 0.8315 0.5000  0.00
K 0.8315 0.1685 0.5000  0.00
K 0.5000 0.5000 0.5000  0.00
Mg 0.3336 0.6664 0.0000  0.00
Mg 0.6664 0.3336 0.0000  0.00
Np 0.0000 0.0000 0.0000  2.80
Se 0.9342 0.6035 0.8029  -0.09
Se 0.7355 0.7355 0.1976  -0.09
Se 0.0658 0.3965 0.1971  -0.09
Se 0.6035 0.9342 0.8029  -0.09
Se 0.2645 0.2645 0.8024  -0.09
Se 0.3965 0.0658 0.1971  -0.09